Record 1
## CdCu2Au (PBEsol)

Data for a geometry-optimized CdCu2Au structure.

- ΔH_f (0 K): -0.1 eV per formula unit
- Size of the total moment: 0.0 μB per cell

a b c (Å): 3.005 3.005 6.530
angles (deg): 90.00 90.00 90.00
Fractional coordinates of all 4 atoms:
Cd (0.000, 0.000, 0.000)
Cu (0.000, 0.000, 0.451)
Cu (0.500, 0.500, 0.262)
Au (0.500, 0.500, 0.693)

Record 2
## CaSm2S3 (PBEsol)

Data for a geometry-optimized CaSm2S3 structure.

- Size of the total moment: 0.0 μB per cell
- E_form (uncorrected): -2.149 eV per atom

a b c (Å): 3.960 3.960 9.717
angles (deg): 90.00 90.00 120.00
Fractional coordinates of all 6 atoms:
Ca (0.000, 0.000, 0.000)
Sm (0.333, 0.667, 0.658)
Sm (0.667, 0.333, 0.342)
S (0.000, 0.000, 0.500)
S (0.333, 0.667, 0.166)
S (0.667, 0.333, 0.834)